# 1
Computed, not measured: crystalline Dy3ScO2 at its relaxed geometry at the GGA-PBE level of DFT.

Unit cell a=6.5322 b=6.5322 c=3.0603 alpha=90.00 beta=90.00 gamma=120.00
Space group P6/mmm (No. 191)
One atom of each set of equivalent atoms:
Dy: 0.0000 0.5000 0.0000
Sc: 0.0000 0.0000 0.5000
O: 0.3333 0.6667 0.5000

Results
- Calculated volume: 113.1 Å³/cell
- Final energy: -6.60 eV per atom
- Density: 8.29 Mg/m³

---

# 2
Computed, not measured: crystalline Dy2Sc2O5 at its relaxed geometry at the GGA-PBE level of DFT.

Unit cell a=4.024 b=4.024 c=7.278 alpha=90.00 beta=90.00 gamma=90.00
Space group P4/mmm (No. 123)
One atom of each set of equivalent atoms:
Dy: 0.000 0.000 0.000
Dy: 0.000 0.000 0.500
Sc: 0.500 0.500 0.227
O: 0.000 0.500 0.232
O: 0.500 0.500 0.500

Results
- Calculated volume: 117.9 Å³/cell
- Density: 6.97 Mg/m³
- E above lowest polymorph: 0 meV per atom

---

# 3
Computed, not measured: crystalline Dy2Sc2O5 at its relaxed geometry at the GGA-PBE level of DFT.

Unit cell a=3.762 b=3.762 c=9.388 alpha=90.00 beta=90.00 gamma=90.00
Space group P4/mmm (No. 123)
One atom of each set of equivalent atoms:
Dy: 0.000 0.000 0.241
Sc: 0.500 0.500 0.000
Sc: 0.500 0.500 0.500
O: 0.000 0.000 0.500
O: 0.000 0.500 0.135

Results
- Calculated volume: 132.8 Å³/cell
- Density: 6.19 Mg/m³
- E above lowest polymorph: 152 meV per atom

---

# 4
Computed, not measured: crystalline Dy2SiSeO4 at its relaxed geometry at the GGA-PBE level of DFT.

Unit cell a=6.011 b=6.934 c=10.756 alpha=90.00 beta=90.00 gamma=90.00
Space group Pbcm (No. 57)
One atom of each set of equivalent atoms:
Dy: 0.108 0.250 0.000
Dy: 0.368 0.530 0.250
Si: 0.387 0.750 0.000
Se: 0.077 0.623 0.750
O: 0.224 0.568 0.032
O: 0.445 0.240 0.621

Results
- Calculated volume: 448.3 Å³/cell
- Final energy: -7.74 eV per atom
- Density: 7.35 Mg/m³

---

# 5
Computed, not measured: crystalline TbDySeO2 at its relaxed geometry at the GGA-PBE level of DFT.

Unit cell a=3.8326 b=3.8326 c=6.7769 alpha=90.00 beta=90.00 gamma=120.00
Space group P3m1 (No. 156)
One atom of each set of equivalent atoms:
Tb: 0.0000 0.0000 0.0000
Dy: 0.6667 0.3333 0.4204
Se: 0.3333 0.6667 0.7093
O: 0.0000 0.0000 0.3378
O: 0.6667 0.3333 0.0850

Results
- Calculated volume: 86.2 Å³/cell
- Final energy: -7.64 eV per atom
- Density: 8.33 Mg/m³

---

# 6
Computed, not measured: crystalline DyTlSeO at its relaxed geometry at the GGA-PBE level of DFT.

Unit cell a=4.596 b=8.004 c=6.609 alpha=90.00 beta=90.00 gamma=90.00
Space group Pmc2_1 (No. 26)
One atom of each set of equivalent atoms:
Dy: 0.000 0.137 0.000
Tl: 0.500 0.276 0.564
Se: 0.500 0.328 0.045
O: 0.000 0.069 0.695

Results
- Calculated volume: 243.1 Å³/cell
- Density: 6.31 Mg/m³
- E above lowest polymorph: 238 meV per atom

---

# 7
Computed, not measured: crystalline DyTlSe2O8 at its relaxed geometry at the GGA-PBE level of DFT.

Unit cell a=5.6889 b=5.6889 c=7.5049 alpha=90.00 beta=90.00 gamma=120.00
Space group P-3m1 (No. 164)
One atom of each set of equivalent atoms:
Dy: 0.0000 0.0000 0.0000
Tl: 0.0000 0.0000 0.5000
Se: 0.3333 0.6667 0.7359
O: 0.1759 0.3518 0.8182
O: 0.3333 0.6667 0.5180

Results
- Calculated volume: 210.3 Å³/cell
- Final energy: -5.82 eV per atom
- Density: 5.15 Mg/m³

---

# 8
Computed, not measured: crystalline DyTlSeO at its relaxed geometry at the GGA-PBE level of DFT.

Unit cell a=5.600 b=5.558 c=12.131 alpha=90.00 beta=101.06 gamma=90.00
Space group P2_1 (No. 4)
One atom of each set of equivalent atoms:
Dy: 0.041 0.000 0.090
Dy: 0.459 0.000 0.909
Tl: 0.016 0.618 0.607
Tl: 0.487 0.623 0.393
Se: 0.033 0.128 0.737
Se: 0.465 0.131 0.263
O: 0.250 0.257 0.000
O: 0.250 0.754 0.000

Results
- Calculated volume: 370.6 Å³/cell
- Density: 8.28 Mg/m³
- E above lowest polymorph: 0 meV per atom

---

# 9
Computed, not measured: crystalline DyTmSeO2 at its relaxed geometry at the GGA-PBE level of DFT.

Unit cell a=3.7894 b=3.7894 c=6.7177 alpha=90.00 beta=90.00 gamma=120.00
Space group P3m1 (No. 156)
One atom of each set of equivalent atoms:
Dy: 0.0000 0.0000 0.0000
Tm: 0.3333 0.6667 0.5810
Se: 0.6667 0.3333 0.2930
O: 0.0000 0.0000 0.6606
O: 0.3333 0.6667 0.9133

Results
- Calculated volume: 83.5 Å³/cell
- Final energy: -7.63 eV per atom
- Density: 8.79 Mg/m³

---

# 10
Computed, not measured: crystalline DySiO3 at its relaxed geometry at the GGA-PBE level of DFT.

Unit cell a=5.189 b=7.319 c=5.196 alpha=90.00 beta=90.00 gamma=90.00
Space group Imma (No. 74)
One atom of each set of equivalent atoms:
Dy: 0.000 0.250 0.000
Si: 0.000 0.000 0.500
O: 0.000 0.250 0.499
O: 0.250 0.001 0.750

Results
- Calculated volume: 197.3 Å³/cell
- Final energy: -7.36 eV per atom
- Density: 8.03 Mg/m³

---

# 11
Computed, not measured: crystalline DySi2O4 at its relaxed geometry at the GGA-PBE level of DFT.

Unit cell a=8.982 b=8.982 c=8.982 alpha=90.00 beta=90.00 gamma=90.00
Space group Fd-3m (No. 227, origin choice 2)
One atom of each set of equivalent atoms:
Dy: 0.125 0.125 0.125
Si: 0.000 0.000 0.500
O: 0.015 0.015 0.735

Results
- Calculated volume: 724.7 Å³/cell
- Final energy: -6.63 eV per atom
- Density: 5.18 Mg/m³

---

# 12
Computed, not measured: crystalline DySiO3 at its relaxed geometry at the GGA-PBE level of DFT.

Unit cell a=5.1948 b=5.1948 c=6.3443 alpha=90.00 beta=90.00 gamma=120.00
Space group R-3m (No. 166, hexagonal axes)
One atom of each set of equivalent atoms:
Dy: 0.0000 0.0000 0.0000
Si: 0.0000 0.0000 0.5000
O: 0.0000 0.5000 0.0000

Results
- Calculated volume: 148.3 Å³/cell
- Final energy: -7.36 eV per atom
- Density: 8.02 Mg/m³